Entry 1:
Material: Be2CoSb
Method: DFT, PBE-GGA
State: optimized geometry

extended XYZ file:
```
4
Lattice="-1.929 1.562 3.385 -4.020 1.030 0.636 -1.438 -3.322 1.736" Properties=species:S:1:pos:R:3 pbc="T T T"
Sb -1.847 -0.183 1.439
Co -5.540 -0.548 4.318
Be -1.442 -2.783 1.635
Be -3.690 -0.905 2.980
```

Summary:
Its space-group type is C2/m, No. 12. The total magnetization is 0.0 μB per cell.

Entry 2:
Material: BeCoSb2
Method: DFT, PBE-GGA
State: optimized geometry

extended XYZ file:
```
4
Lattice="-2.723 -0.674 -1.279 -1.190 -0.503 2.799 -2.113 7.644 0.475" Properties=species:S:1:pos:R:3 pbc="T T T"
Sb -1.892 6.843 0.425
Sb -2.695 2.083 0.926
Co -3.402 4.638 1.085
Be -1.208 4.370 0.271
```

Summary:
Its space-group type is P4mm, No. 99. The total magnetization is 0.7 μB per cell.

Let's list energy in order: -4.481; -4.699 eV/atom.
Let's list formation energy (no corrections) in order: 190; 71 meV per atom.